[1]
{
  "formula": "Pm6SmYTh2",
  "functional": "PBE",
  "state": "optimized geometry",
  "delta_e_f_ev_per_atom": 0.15,
  "dos_ef_per_ev_atom": 1.515,
  "volume_a3_per_fu": 342.1,
  "energy_ev_per_atom": -5.303,
  "density_g_cm3": 7.6,
  "lattice": [[9.598, -2.645, -2.745], [0.702, 8.514, -2.018], [0.702, -2.333, 8.433]],
  "species": ["Pm", "Pm", "Pm", "Pm", "Pm", "Pm", "Pm", "Pm", "Pm", "Pm", "Pm", "Pm", "Sm", "Sm", "Y", "Y", "Th", "Th", "Th", "Th"],
  "fractional_positions": [[0.049, 0.109, 0.741], [0.451, 0.259, 0.891], [0.951, 0.891, 0.259], [0.549, 0.741, 0.109], [0.325, 0.981, 0.430], [0.175, 0.570, 0.019], [0.675, 0.019, 0.570], [0.825, 0.430, 0.981], [0.118, 0.693, 0.491], [0.382, 0.509, 0.307], [0.882, 0.307, 0.509], [0.618, 0.491, 0.693], [0.250, 0.990, 0.010], [0.750, 0.010, 0.990], [0.250, 0.404, 0.596], [0.750, 0.596, 0.404], [0.458, 0.818, 0.729], [0.042, 0.271, 0.182], [0.542, 0.182, 0.271], [0.958, 0.729, 0.818]]
}

=====

[2]
{
  "formula": "Pm2Sm3Y6Th",
  "functional": "PBE",
  "state": "optimized geometry",
  "delta_e_f_ev_per_atom": 0.02,
  "dos_ef_per_ev_atom": 1.293,
  "volume_a3_per_fu": 395.1,
  "energy_ev_per_atom": -5.800,
  "density_g_cm3": 6.3,
  "lattice": [[-5.492, 1.467, -2.599], [0.248, -4.222, 4.603], [0.290, 9.413, 7.203]],
  "species": ["Pm", "Pm", "Sm", "Sm", "Sm", "Y", "Y", "Y", "Y", "Y", "Y", "Th"],
  "fractional_positions": [[0.333, 0.667, 0.000], [0.667, 0.333, 0.000], [0.167, 0.833, 0.500], [0.833, 0.167, 0.500], [0.500, 0.500, 0.500], [0.917, 0.587, 0.751], [0.754, 0.754, 0.249], [0.083, 0.413, 0.249], [0.587, 0.917, 0.751], [0.246, 0.246, 0.751], [0.413, 0.083, 0.249], [0.000, 0.000, 0.000]]
}

=====

[3]
{
  "formula": "PmSm6Y3Th2",
  "functional": "PBE",
  "state": "optimized geometry",
  "delta_e_f_ev_per_atom": 0.04,
  "dos_ef_per_ev_atom": 1.461,
  "volume_a3_per_fu": 399.4,
  "energy_ev_per_atom": -5.572,
  "density_g_cm3": 7.4,
  "lattice": [[-2.879, 5.434, 1.119], [-2.789, -5.380, 1.530], [6.883, 0.431, 9.796]],
  "species": ["Pm", "Sm", "Sm", "Sm", "Sm", "Sm", "Sm", "Y", "Y", "Y", "Th", "Th"],
  "fractional_positions": [[0.000, 0.000, 0.000], [0.917, 0.579, 0.752], [0.745, 0.745, 0.248], [0.083, 0.421, 0.248], [0.579, 0.917, 0.752], [0.255, 0.255, 0.752], [0.421, 0.083, 0.248], [0.167, 0.833, 0.500], [0.833, 0.167, 0.500], [0.500, 0.500, 0.500], [0.333, 0.667, 0.000], [0.667, 0.333, 0.000]]
}

=====

[4]
{
  "formula": "Pm5Sm2YTh",
  "functional": "PBE",
  "state": "optimized geometry",
  "delta_e_f_ev_per_atom": 0.15,
  "dos_ef_per_ev_atom": 1.517,
  "volume_a3_per_fu": 310.9,
  "energy_ev_per_atom": -5.076,
  "density_g_cm3": 7.2,
  "lattice": [[5.699, 0.000, 0.000], [-2.850, 10.311, 0.000], [0.000, 0.000, 10.583]],
  "species": ["Pm", "Pm", "Pm", "Pm", "Pm", "Pm", "Pm", "Pm", "Pm", "Pm", "Sm", "Sm", "Sm", "Sm", "Y", "Y", "Th", "Th"],
  "fractional_positions": [[0.386, 0.772, 0.025], [0.725, 0.450, 0.814], [0.481, 0.963, 0.744], [0.294, 0.588, 0.705], [0.986, 0.971, 0.518], [0.614, 0.228, 0.525], [0.275, 0.550, 0.314], [0.519, 0.037, 0.244], [0.706, 0.412, 0.205], [0.014, 0.029, 0.018], [0.885, 0.770, 0.813], [0.114, 0.229, 0.733], [0.115, 0.230, 0.313], [0.886, 0.771, 0.233], [0.595, 0.190, 0.958], [0.405, 0.810, 0.458], [0.801, 0.602, 0.512], [0.199, 0.398, 0.012]]
}

=====

[5]
{
  "formula": "PmSm5Y2Th",
  "functional": "PBE",
  "state": "optimized geometry",
  "delta_e_f_ev_per_atom": 0.16,
  "dos_ef_per_ev_atom": 1.517,
  "volume_a3_per_fu": 305.9,
  "energy_ev_per_atom": -5.253,
  "density_g_cm3": 7.1,
  "lattice": [[5.699, 0.000, 0.000], [-2.850, 10.155, 0.000], [0.000, 0.000, 10.571]],
  "species": ["Pm", "Pm", "Sm", "Sm", "Sm", "Sm", "Sm", "Sm", "Sm", "Sm", "Sm", "Sm", "Y", "Y", "Y", "Y", "Th", "Th"],
  "fractional_positions": [[0.589, 0.179, 0.950], [0.411, 0.821, 0.450], [0.391, 0.782, 0.027], [0.722, 0.444, 0.813], [0.478, 0.955, 0.741], [0.294, 0.589, 0.704], [0.983, 0.966, 0.523], [0.609, 0.218, 0.527], [0.278, 0.556, 0.313], [0.522, 0.045, 0.241], [0.706, 0.411, 0.204], [0.017, 0.034, 0.023], [0.884, 0.768, 0.821], [0.113, 0.226, 0.734], [0.116, 0.232, 0.321], [0.887, 0.774, 0.234], [0.799, 0.597, 0.512], [0.201, 0.403, 0.012]]
}

=====

[6]
{
  "formula": "PmSmYTh2",
  "functional": "PBE",
  "state": "optimized geometry",
  "delta_e_f_ev_per_atom": 0.40,
  "dos_ef_per_ev_atom": 1.533,
  "volume_a3_per_fu": 177.6,
  "energy_ev_per_atom": -5.760,
  "density_g_cm3": 7.9,
  "lattice": [[-1.571, 5.923, -2.737], [-5.357, -2.770, -2.919], [-1.691, 3.155, 7.799]],
  "species": ["Pm", "Pm", "Sm", "Sm", "Y", "Y", "Th", "Th", "Th", "Th"],
  "fractional_positions": [[0.250, 0.849, 0.698], [0.750, 0.151, 0.302], [0.750, 0.742, 0.484], [0.250, 0.258, 0.516], [0.250, 0.652, 0.304], [0.750, 0.348, 0.696], [0.500, 0.252, 0.000], [0.000, 0.748, 0.000], [0.500, 0.748, 0.000], [0.000, 0.252, 0.000]]
}

=====

[7]
{
  "formula": "Pm3Sm2Y6Th",
  "functional": "PBE",
  "state": "optimized geometry",
  "delta_e_f_ev_per_atom": 0.02,
  "dos_ef_per_ev_atom": 1.291,
  "volume_a3_per_fu": 395.4,
  "energy_ev_per_atom": -5.804,
  "density_g_cm3": 6.3,
  "lattice": [[6.252, 0.000, 0.008], [-3.124, 5.416, 0.008], [-1.057, -1.830, 11.670]],
  "species": ["Pm", "Pm", "Pm", "Sm", "Sm", "Y", "Y", "Y", "Y", "Y", "Y", "Th"],
  "fractional_positions": [[0.167, 0.833, 0.500], [0.833, 0.167, 0.500], [0.500, 0.500, 0.500], [0.333, 0.667, 0.000], [0.667, 0.333, 0.000], [0.917, 0.587, 0.752], [0.753, 0.753, 0.248], [0.083, 0.413, 0.248], [0.587, 0.917, 0.752], [0.247, 0.247, 0.752], [0.413, 0.083, 0.248], [0.000, 0.000, 0.000]]
}

=====

[8]
{
  "formula": "PmSm2Y6Th3",
  "functional": "PBE",
  "state": "optimized geometry",
  "delta_e_f_ev_per_atom": 0.02,
  "dos_ef_per_ev_atom": 1.432,
  "volume_a3_per_fu": 390.7,
  "energy_ev_per_atom": -6.250,
  "density_g_cm3": 7.1,
  "lattice": [[6.234, -0.001, 0.002], [-3.116, 5.399, 0.002], [-1.046, -1.811, 11.607]],
  "species": ["Pm", "Sm", "Sm", "Y", "Y", "Y", "Y", "Y", "Y", "Th", "Th", "Th"],
  "fractional_positions": [[0.000, 0.000, 0.000], [0.333, 0.667, 0.000], [0.667, 0.333, 0.000], [0.915, 0.581, 0.744], [0.752, 0.752, 0.256], [0.085, 0.419, 0.256], [0.581, 0.915, 0.744], [0.248, 0.248, 0.744], [0.419, 0.085, 0.256], [0.167, 0.833, 0.500], [0.833, 0.167, 0.500], [0.500, 0.500, 0.500]]
}

=====

[9]
{
  "formula": "Pm3Sm6Y2Th",
  "functional": "PBE",
  "state": "optimized geometry",
  "delta_e_f_ev_per_atom": 0.03,
  "dos_ef_per_ev_atom": 1.408,
  "volume_a3_per_fu": 403.3,
  "energy_ev_per_atom": -5.217,
  "density_g_cm3": 7.2,
  "lattice": [[6.265, 0.003, 0.017], [-3.129, 5.428, 0.017], [-1.078, -1.867, 11.845]],
  "species": ["Pm", "Pm", "Pm", "Sm", "Sm", "Sm", "Sm", "Sm", "Sm", "Y", "Y", "Th"],
  "fractional_positions": [[0.167, 0.833, 0.500], [0.833, 0.167, 0.500], [0.500, 0.500, 0.500], [0.917, 0.588, 0.753], [0.754, 0.754, 0.247], [0.083, 0.412, 0.247], [0.588, 0.917, 0.753], [0.246, 0.246, 0.753], [0.412, 0.083, 0.247], [0.333, 0.667, 0.000], [0.667, 0.333, 0.000], [0.000, 0.000, 0.000]]
}

=====

[10]
{
  "formula": "PmSm3Y6Th2",
  "functional": "PBE",
  "state": "optimized geometry",
  "delta_e_f_ev_per_atom": 0.02,
  "dos_ef_per_ev_atom": 1.363,
  "volume_a3_per_fu": 392.4,
  "energy_ev_per_atom": -6.020,
  "density_g_cm3": 6.7,
  "lattice": [[6.240, 0.000, 0.009], [-3.119, 5.405, 0.009], [-1.060, -1.835, 11.628]],
  "species": ["Pm", "Sm", "Sm", "Sm", "Y", "Y", "Y", "Y", "Y", "Y", "Th", "Th"],
  "fractional_positions": [[0.000, 0.000, 0.000], [0.166, 0.834, 0.500], [0.834, 0.166, 0.500], [0.500, 0.500, 0.500], [0.918, 0.580, 0.754], [0.744, 0.744, 0.247], [0.082, 0.420, 0.246], [0.580, 0.918, 0.754], [0.256, 0.256, 0.753], [0.420, 0.082, 0.246], [0.333, 0.667, 0.000], [0.667, 0.333, 0.000]]
}

=====

[11]
{
  "formula": "Pm2SmTi",
  "functional": "PBE",
  "state": "optimized geometry",
  "delta_e_f_ev_per_atom": 0.45,
  "dos_ef_per_ev_atom": 1.616,
  "volume_a3_per_fu": 120.8,
  "energy_ev_per_atom": -5.075,
  "density_g_cm3": 6.7,
  "lattice": [[3.406, 0.000, 0.000], [1.703, 2.950, 0.000], [1.703, 0.983, 12.019]],
  "species": ["Ti", "Sm", "Pm", "Pm"],
  "fractional_positions": [[0.000, 0.000, 0.000], [0.500, 0.500, 0.500], [0.082, 0.082, 0.753], [0.918, 0.918, 0.247]]
}

=====

[12]
{
  "formula": "Pm6SmTl",
  "functional": "PBE",
  "state": "optimized geometry",
  "delta_e_f_ev_per_atom": -0.08,
  "dos_ef_per_ev_atom": 1.127,
  "volume_a3_per_fu": 259.7,
  "energy_ev_per_atom": -4.531,
  "density_g_cm3": 7.8,
  "lattice": [[-4.403, 0.189, 2.375], [2.349, -0.494, 4.393], [0.828, 10.305, 0.717]],
  "species": ["Pm", "Pm", "Pm", "Pm", "Pm", "Pm", "Sm", "Tl"],
  "fractional_positions": [[0.500, 0.500, 0.000], [0.500, 0.500, 0.500], [0.500, 0.000, 0.257], [0.500, 0.000, 0.743], [0.000, 0.500, 0.257], [0.000, 0.500, 0.743], [0.000, 0.000, 0.000], [0.000, 0.000, 0.500]]
}

=====

[13]
{
  "formula": "Pm3SmTl",
  "functional": "PBE",
  "state": "optimized geometry",
  "delta_e_f_ev_per_atom": -0.12,
  "dos_ef_per_ev_atom": 1.395,
  "volume_a3_per_fu": 161.9,
  "energy_ev_per_atom": -4.386,
  "density_g_cm3": 8.1,
  "lattice": [[-5.118, -0.749, -0.687], [-0.072, -4.731, 5.697], [-1.637, 5.848, 5.826]],
  "species": ["Pm", "Pm", "Pm", "Pm", "Pm", "Pm", "Sm", "Sm", "Tl", "Tl"],
  "fractional_positions": [[0.376, 0.435, 0.184], [0.376, 0.000, 0.004], [0.876, 0.533, 0.464], [0.876, 0.917, 0.718], [0.876, 0.353, 0.898], [0.376, 0.820, 0.438], [0.376, 0.245, 0.601], [0.876, 0.108, 0.301], [0.376, 0.619, 0.792], [0.876, 0.733, 0.109]]
}

=====

[14]
{
  "formula": "Pm6Sm8Tl",
  "functional": "PBE",
  "state": "optimized geometry",
  "delta_e_f_ev_per_atom": 0.07,
  "dos_ef_per_ev_atom": 1.222,
  "volume_a3_per_fu": 510.0,
  "energy_ev_per_atom": -4.502,
  "density_g_cm3": 7.4,
  "lattice": [[6.553, 0.000, 0.000], [0.000, 8.209, -4.740], [0.000, 0.000, 9.479]],
  "species": ["Pm", "Pm", "Pm", "Pm", "Pm", "Pm", "Sm", "Sm", "Sm", "Sm", "Sm", "Sm", "Sm", "Sm", "Tl"],
  "fractional_positions": [[0.674, 0.644, 0.093], [0.674, 0.907, 0.551], [0.674, 0.449, 0.356], [0.326, 0.356, 0.907], [0.326, 0.093, 0.449], [0.326, 0.551, 0.644], [0.817, 0.040, 0.267], [0.817, 0.733, 0.773], [0.817, 0.227, 0.960], [0.183, 0.960, 0.733], [0.183, 0.267, 0.227], [0.183, 0.773, 0.040], [0.853, 0.333, 0.667], [0.147, 0.667, 0.333], [0.500, 0.000, 0.000]]
}

=====

[15]
{
  "formula": "Pm12SmTl3",
  "functional": "PBE",
  "state": "optimized geometry",
  "delta_e_f_ev_per_atom": -0.14,
  "dos_ef_per_ev_atom": 1.460,
  "volume_a3_per_fu": 504.1,
  "energy_ev_per_atom": -4.443,
  "density_g_cm3": 8.2,
  "lattice": [[4.973, 0.000, 0.000], [0.000, 4.973, 0.000], [0.000, 0.000, 20.385]],
  "species": ["Pm", "Pm", "Pm", "Pm", "Pm", "Pm", "Pm", "Pm", "Pm", "Pm", "Pm", "Pm", "Sm", "Tl", "Tl", "Tl"],
  "fractional_positions": [[0.500, 0.500, 0.000], [0.500, 0.500, 0.255], [0.500, 0.500, 0.500], [0.500, 0.500, 0.745], [0.500, 0.000, 0.132], [0.500, 0.000, 0.377], [0.500, 0.000, 0.623], [0.500, 0.000, 0.868], [0.000, 0.500, 0.132], [0.000, 0.500, 0.377], [0.000, 0.500, 0.623], [0.000, 0.500, 0.868], [0.000, 0.000, 0.000], [0.000, 0.000, 0.257], [0.000, 0.000, 0.500], [0.000, 0.000, 0.743]]
}

=====

[16]
{
  "formula": "PmSm8Tl2",
  "functional": "PBE",
  "state": "optimized geometry",
  "delta_e_f_ev_per_atom": -0.02,
  "dos_ef_per_ev_atom": 1.327,
  "volume_a3_per_fu": 363.4,
  "energy_ev_per_atom": -4.316,
  "density_g_cm3": 8.0,
  "lattice": [[5.794, -0.364, -0.546], [-1.472, 8.771, -0.764], [-1.472, -4.084, 7.800]],
  "species": ["Pm", "Sm", "Sm", "Sm", "Sm", "Sm", "Sm", "Sm", "Sm", "Tl", "Tl"],
  "fractional_positions": [[0.500, 0.000, 0.000], [0.878, 0.907, 0.678], [0.878, 0.678, 0.907], [0.295, 0.593, 0.593], [0.500, 0.781, 0.219], [0.500, 0.219, 0.781], [0.705, 0.407, 0.407], [0.122, 0.322, 0.093], [0.122, 0.093, 0.322], [0.000, 0.306, 0.694], [0.000, 0.694, 0.306]]
}

=====

[17]
{
  "formula": "Pm2Sm6Tl",
  "functional": "PBE",
  "state": "optimized geometry",
  "delta_e_f_ev_per_atom": 0.06,
  "dos_ef_per_ev_atom": 1.355,
  "volume_a3_per_fu": 304.2,
  "energy_ev_per_atom": -4.409,
  "density_g_cm3": 7.6,
  "lattice": [[-5.171, 4.601, 2.056], [-2.369, -5.361, 6.043], [9.372, 11.086, -1.241]],
  "species": ["Pm", "Pm", "Pm", "Pm", "Sm", "Sm", "Sm", "Sm", "Sm", "Sm", "Sm", "Sm", "Sm", "Sm", "Sm", "Sm", "Tl", "Tl"],
  "fractional_positions": [[0.500, 0.190, 0.233], [0.000, 0.310, 0.267], [0.000, 0.690, 0.733], [0.500, 0.810, 0.767], [0.000, 0.249, 0.814], [0.257, 0.258, 0.464], [0.243, 0.242, 0.036], [0.743, 0.258, 0.464], [0.757, 0.242, 0.036], [0.500, 0.251, 0.686], [0.000, 0.751, 0.186], [0.743, 0.742, 0.536], [0.757, 0.758, 0.964], [0.257, 0.742, 0.536], [0.243, 0.758, 0.964], [0.500, 0.749, 0.314], [0.500, 0.500, 0.000], [0.000, 0.000, 0.500]]
}

=====

[18]
{
  "formula": "Pm3Sm2Tl",
  "functional": "PBE",
  "state": "optimized geometry",
  "delta_e_f_ev_per_atom": -0.06,
  "dos_ef_per_ev_atom": 1.371,
  "volume_a3_per_fu": 198.3,
  "energy_ev_per_atom": -4.408,
  "density_g_cm3": 7.9,
  "lattice": [[-5.009, 2.914, -2.642], [-1.954, -6.078, -2.998], [-2.368, -3.394, 8.425]],
  "species": ["Pm", "Pm", "Pm", "Pm", "Pm", "Pm", "Sm", "Sm", "Sm", "Sm", "Tl", "Tl"],
  "fractional_positions": [[0.678, 0.250, 0.000], [0.322, 0.750, 0.000], [0.141, 0.000, 0.282], [0.859, 0.500, 0.718], [0.141, 0.500, 0.282], [0.859, 0.000, 0.718], [0.697, 0.750, 0.365], [0.668, 0.250, 0.365], [0.332, 0.750, 0.635], [0.303, 0.250, 0.635], [0.807, 0.750, 0.000], [0.193, 0.250, 0.000]]
}

=====

[19]
{
  "formula": "Pm2Sm6Tl3",
  "functional": "PBE",
  "state": "optimized geometry",
  "delta_e_f_ev_per_atom": 0.02,
  "dos_ef_per_ev_atom": 1.264,
  "volume_a3_per_fu": 364.7,
  "energy_ev_per_atom": -4.064,
  "density_g_cm3": 8.2,
  "lattice": [[4.609, 0.000, 0.000], [0.000, 4.609, 0.000], [-2.304, -2.304, 17.173]],
  "species": ["Pm", "Pm", "Sm", "Sm", "Sm", "Sm", "Sm", "Sm", "Tl", "Tl", "Tl"],
  "fractional_positions": [[0.456, 0.456, 0.913], [0.544, 0.544, 0.087], [0.127, 0.627, 0.255], [0.627, 0.127, 0.255], [0.873, 0.373, 0.745], [0.373, 0.873, 0.745], [0.714, 0.714, 0.427], [0.286, 0.286, 0.573], [0.000, 0.000, 0.000], [0.806, 0.806, 0.612], [0.194, 0.194, 0.388]]
}

=====

[20]
{
  "formula": "Pm2Sm3Tl",
  "functional": "PBE",
  "state": "optimized geometry",
  "delta_e_f_ev_per_atom": -0.11,
  "dos_ef_per_ev_atom": 1.265,
  "volume_a3_per_fu": 190.6,
  "energy_ev_per_atom": -4.443,
  "density_g_cm3": 8.2,
  "lattice": [[4.971, 0.000, 0.000], [0.000, 4.686, -1.585], [0.000, 0.140, 8.135]],
  "species": ["Pm", "Pm", "Sm", "Sm", "Sm", "Tl"],
  "fractional_positions": [[0.000, 0.662, 0.325], [0.000, 0.338, 0.675], [0.500, 0.166, 0.331], [0.500, 0.500, 0.000], [0.500, 0.834, 0.669], [0.000, 0.000, 0.000]]
}